First-principles (PBE-GGA) data for an optimized crystal structure of ScAgPb, as listed in Alexandria via LeMat-Bulk.

Cell lengths 9.3301, 4.4983, 6.6268 Å; angles 90.00, 104.40, 90.00 degrees
Closest atoms and distances in Å follow each position.
Space group C2/m (No. 12)
Inequivalent atoms, fractional coordinates:
Sc 0.1580 0.0000 0.3168 x4  5 Ag 2.99-3.33, 5 Pb 3.10-3.18
Ag 0.1726 0.0000 0.8201 x4  5 Pb 2.99-3.23, 5 Sc 2.99-3.33, 2 Ag 3.33
Pb 0.0000 0.5000 0.0000 x2  6 Ag 2.99-3.17, 4 Sc 3.18, 2 Pb 3.31
Pb 0.0000 0.5000 0.5000 x2  6 Sc 3.10-3.12, 4 Ag 3.23, 2 Pb 3.31

Properties
Crystal system = monoclinic
Final energy = -4.52 eV per atom